## Na4Sc3CrTe8 (PBE)

Data for a relaxed Na4Sc3CrTe8 crystal.

Results
Energy relative to the elements, uncorrected: -0.998 eV/atom
Energy: -75.00 eV/cell

```
Na4Sc3CrTe8
1.0
4.1918 2.4202 7.5334
-4.1918 2.4202 7.5334
0.0000 -4.8403 7.5334
Na Sc Cr Te
4 3 1 8
Direct
0.0000 0.0000 0.0000
0.0000 0.5000 0.5000
0.5000 0.0000 0.5000
0.5000 0.5000 0.0000
0.0000 0.0000 0.5000
0.0000 0.5000 0.0000
0.5000 0.0000 0.0000
0.5000 0.5000 0.5000
0.2404 0.2404 0.2404
0.2503 0.7316 0.7316
0.2684 0.2684 0.7497
0.2684 0.7497 0.2684
0.7316 0.2503 0.7316
0.7316 0.7316 0.2503
0.7497 0.2684 0.2684
0.7596 0.7596 0.7596
```

=====

## Sm8TlAg2 (PBE)

Data for a relaxed Sm8TlAg2 crystal.

Results
ΔE_f: -0.133 eV/atom
Energy: -47.28 eV/cell

```
Sm8TlAg2
1.0
8.7845 -2.5758 0.0000
8.7845 2.5758 0.0000
-3.1475 0.0000 7.2979
Sm Tl Ag
8 1 2
Direct
0.0421 0.0421 0.2598
0.1830 0.1830 0.7761
0.3210 0.3210 0.5347
0.4076 0.4076 0.0382
0.5924 0.5924 0.9618
0.6790 0.6790 0.4653
0.8170 0.8170 0.2239
0.9579 0.9579 0.7402
0.5000 0.5000 0.5000
0.1918 0.1918 0.1587
0.8082 0.8082 0.8413
```

=====

## DyErGeIr (PBE)

Data for a relaxed DyErGeIr crystal.

Results
ΔE_f: -0.709 eV/atom
Energy: -25.48 eV/cell

```
DyErGeIr
1.0
0.0000 3.4901 3.4901
3.4901 0.0000 3.4901
3.4901 3.4901 0.0000
Dy Er Ge Ir
1 1 1 1
Direct
0.0000 0.0000 0.0000
0.5000 0.5000 0.5000
0.2500 0.2500 0.2500
0.7500 0.7500 0.7500
```

=====

## Li3SiSe (PBE)

Data for a relaxed Li3SiSe crystal.

Results
Energy relative to the elements, uncorrected: 0.123 eV/atom
Energy: -14.04 eV/cell

```
Li3SiSe
1.0
4.7147 0.0000 0.0000
0.0000 4.7147 0.0000
0.0000 0.0000 4.7147
Li Si Se
3 1 1
Direct
0.0000 0.0000 0.5000
0.0000 0.5000 0.0000
0.5000 0.0000 0.0000
0.0000 0.0000 0.0000
0.5000 0.5000 0.5000
```

=====

## AsC2 (PBE)

Data for a relaxed AsC2 crystal.

Results
ΔE_f: 1.168 eV/atom
Energy: -39.19 eV/cell

```
AsC2
1.0
2.9659 -1.6027 0.0000
2.9659 1.6027 0.0000
-0.5709 0.0000 7.6742
As C
2 4
Direct
0.0000 0.0000 0.0000
0.5724 0.5724 0.3677
0.2138 0.2138 0.4891
0.2283 0.2283 0.6662
0.2507 0.2507 0.8325
0.6514 0.6514 0.1297
```

=====

## Nd8Y3Sc (PBE)

Data for a relaxed Nd8Y3Sc crystal.

Results
ΔE_f: 0.553 eV/atom
Energy: -57.23 eV/cell

```
Nd8Y3Sc
1.0
-4.3690 4.3690 5.8313
4.3690 -4.3690 5.8313
4.3690 4.3690 -5.8313
Nd Y Sc
8 3 1
Direct
0.1320 0.1320 0.7461
0.2401 0.7151 0.0000
0.2849 0.2849 0.5250
0.3859 0.3859 0.2539
0.6141 0.8680 0.0000
0.7151 0.2401 0.0000
0.7599 0.7599 0.4750
0.8680 0.6141 0.0000
0.0000 0.0000 0.0000
0.2500 0.7500 0.5000
0.7500 0.2500 0.5000
0.5000 0.5000 0.0000
```